No. 1
## ZrIn4Cu2 (GGA-PBE)

Data for a geometry-optimized ZrIn4Cu2 structure.

Unit cell a=7.6929 b=7.6929 c=7.6929 alpha=137.95 beta=137.95 gamma=60.98
With the nearest neighbours (Å) after each atom.
Atoms (fractional coordinates):
Zr  0.0000  0.0000  0.0000  6 In 2.76-2.91
In  0.0000  0.5000  0.5000  2 Zr 2.76, 4 Cu 3.00
In  0.2195  0.2195  0.0000  1 Cu 2.54
In  0.5000  0.0000  0.5000  2 Zr 2.76, 4 Cu 3.00
In  0.7805  0.7805  0.0000  1 Cu 2.54
Cu  0.4110  0.4110  0.0000  1 Cu 2.36, 1 In 2.54
Cu  0.5890  0.5890  0.0000  1 Cu 2.36, 1 In 2.54

Results
formation energy: 0.538 eV/atom
calculated density: 5.57 g cm⁻³
Fermi-level density of states: 5.16 states/eV/f.u.
E_tot: -3.418 eV per atom
total magnetization: 0.00 μB/f.u.



No. 2
## ZrIn2Cu (GGA-PBE)

Data for a geometry-optimized ZrIn2Cu structure.

Unit cell a=3.1482 b=4.4456 c=5.9755 alpha=90.00 beta=96.47 gamma=90.00
With the nearest neighbours (Å) after each atom.
Atoms (fractional coordinates):
Zr  0.0000  0.0000  0.0000  8 In 3.08-3.17, 2 Zr 3.15, 2 Cu 3.22
In  0.4178  0.5000  0.7432  2 Cu 2.68
In  0.5822  0.5000  0.2568  2 Cu 2.68
Cu  0.5000  0.0000  0.5000  4 In 2.68

Results
formation energy: -0.061 eV/atom
calculated density: 7.68 g cm⁻³
Fermi-level density of states: 2.14 states/eV/f.u.
E_tot: -4.591 eV per atom
total magnetization: 0.00 μB/f.u.



No. 3
## ZrIn2Cu (GGA-PBE)

Data for a geometry-optimized ZrIn2Cu structure.

Unit cell a=4.8687 b=4.8687 c=4.8687 alpha=60.00 beta=60.00 gamma=60.00
With the nearest neighbours (Å) after each atom.
Atoms (fractional coordinates):
Zr  0.0000  0.0000  0.0000  4 In 2.98, 4 Cu 2.98
In  0.5000  0.5000  0.5000  4 In 2.98, 4 Cu 2.98
In  0.7500  0.7500  0.7500  4 In 2.98, 4 Zr 2.98
Cu  0.2500  0.2500  0.2500  4 In 2.98, 4 Zr 2.98

Results
formation energy: 0.127 eV/atom
calculated density: 7.82 g cm⁻³
Fermi-level density of states: 2.47 states/eV/f.u.
E_tot: -4.403 eV per atom
total magnetization: 0.00 μB/f.u.



No. 4
## Zr2In2Cu (GGA-PBE)

Data for a geometry-optimized Zr2In2Cu structure.

Unit cell a=7.0013 b=7.0013 c=4.6641 alpha=90.00 beta=90.00 gamma=90.00
With the nearest neighbours (Å) after each atom.
Atoms (fractional coordinates):
Zr  0.1543  0.3457  0.0000  2 Cu 2.65
Zr  0.3457  0.8457  0.0000  2 Cu 2.65
Zr  0.6543  0.1543  0.0000  2 Cu 2.65
Zr  0.8457  0.6543  0.0000  2 Cu 2.65
In  0.1558  0.6558  0.5000  6 Zr 3.00-3.19, 1 In 3.08
In  0.3442  0.1558  0.5000  6 Zr 3.00-3.19, 1 In 3.08
In  0.6558  0.8442  0.5000  6 Zr 3.00-3.19, 1 In 3.08
In  0.8442  0.3442  0.5000  6 Zr 3.00-3.19, 1 In 3.08
Cu  0.0000  0.0000  0.0000  4 Zr 2.65
Cu  0.5000  0.5000  0.0000  4 Zr 2.65

Results
formation energy: 0.082 eV/atom
calculated density: 6.91 g cm⁻³
Fermi-level density of states: 5.41 states/eV/f.u.
E_tot: -5.252 eV per atom
offset from the most stable computed form: 0.854 eV/f.u.
total magnetization: 0.00 μB/f.u.



No. 5
## ZrIn2Cu (GGA-PBE)

Data for a geometry-optimized ZrIn2Cu structure.

Unit cell a=5.5004 b=5.5004 c=5.5004 alpha=134.85 beta=134.85 gamma=65.76
With the nearest neighbours (Å) after each atom.
Atoms (fractional coordinates):
Zr  0.0000  0.0000  0.0000  4 Cu 2.99, 8 In 3.13
In  0.2500  0.7500  0.5000  4 In 2.99, 4 Zr 3.13, 4 Cu 3.13
In  0.7500  0.2500  0.5000  4 In 2.99, 4 Zr 3.13, 4 Cu 3.13
Cu  0.5000  0.5000  0.0000  4 Zr 2.99, 8 In 3.13

Results
formation energy: 0.044 eV/atom
calculated density: 7.75 g cm⁻³
Fermi-level density of states: 5.55 states/eV/f.u.
E_tot: -4.486 eV per atom
total magnetization: 0.31 μB/f.u.



No. 6
## ZrIn3Cu8 (GGA-PBE)

Data for a geometry-optimized ZrIn3Cu8 structure.

Unit cell a=5.0165 b=5.0165 c=8.3891 alpha=90.00 beta=90.00 gamma=120.00
With the nearest neighbours (Å) after each atom.
Atoms (fractional coordinates):
Zr  0.0000  0.0000  0.0000  12 Cu 2.94-3.00, 4 In 3.06-3.09
In  0.0000  0.0000  0.3648  12 Cu 2.94-3.04, 1 Zr 3.06, 3 In 3.10
In  0.6667  0.3333  0.4967  12 Cu 2.94-3.01, 4 In 3.10-3.15
In  0.6667  0.3333  0.8725  12 Cu 2.94-2.97, 3 Zr 3.09, 1 In 3.15
Cu  0.1642  0.3284  0.6849  6 Cu 2.47-2.55
Cu  0.1642  0.8358  0.6849  6 Cu 2.47-2.55
Cu  0.3333  0.6667  0.4370  6 Cu 2.55-2.58
Cu  0.3333  0.6667  0.9309  6 Cu 2.53-2.56
Cu  0.5005  0.0009  0.1822  6 Cu 2.50-2.58
Cu  0.5005  0.4995  0.1822  6 Cu 2.50-2.58
Cu  0.6716  0.8358  0.6849  6 Cu 2.47-2.55
Cu  0.9991  0.4995  0.1822  6 Cu 2.50-2.58

Results
formation energy: -0.073 eV/atom
calculated density: 8.57 g cm⁻³
Fermi-level density of states: 3.97 states/eV/f.u.
E_tot: -4.201 eV per atom
offset from the most stable computed form: 0.186 eV/f.u.
total magnetization: 0.00 μB/f.u.



No. 7
## ZrIn2Cu (GGA-PBE)

Data for a geometry-optimized ZrIn2Cu structure.

Unit cell a=9.5714 b=9.5714 c=9.5714 alpha=19.18 beta=19.18 gamma=19.18
With the nearest neighbours (Å) after each atom.
Atoms (fractional coordinates):
Zr  0.0000  0.0000  0.0000  6 In 3.17, 6 Zr 3.19
In  0.2418  0.2418  0.2418  3 Cu 2.81
In  0.7582  0.7582  0.7582  3 Cu 2.81
Cu  0.5000  0.5000  0.5000  6 In 2.81

Results
formation energy: 0.021 eV/atom
calculated density: 7.71 g cm⁻³
Fermi-level density of states: 2.66 states/eV/f.u.
E_tot: -4.509 eV per atom
total magnetization: 0.00 μB/f.u.



No. 8
## ZrIn2Cu (GGA-PBE)

Data for a geometry-optimized ZrIn2Cu structure.

Unit cell a=3.2170 b=3.2170 c=7.6091 alpha=90.00 beta=90.00 gamma=90.00
With the nearest neighbours (Å) after each atom.
Atoms (fractional coordinates):
Zr  0.0000  0.0000  0.0000  8 In 3.14, 4 Zr 3.22
In  0.5000  0.5000  0.2836  4 Cu 2.81, 4 Zr 3.14
In  0.5000  0.5000  0.7164  4 Cu 2.81, 4 Zr 3.14
Cu  0.0000  0.0000  0.5000  8 In 2.81

Results
formation energy: -0.113 eV/atom
calculated density: 8.11 g cm⁻³
Fermi-level density of states: 1.90 states/eV/f.u.
E_tot: -4.643 eV per atom
total magnetization: 0.00 μB/f.u.



No. 9
## Zr6In3Cu (GGA-PBE)

Data for a geometry-optimized Zr6In3Cu structure.

Unit cell a=5.3913 b=8.6707 c=11.1608 alpha=90.00 beta=118.81 gamma=90.00
With the nearest neighbours (Å) after each atom.
Atoms (fractional coordinates):
Zr  0.0477  0.1670  0.4603  1 Cu 2.68, 1 In 2.95, 1 Zr 3.00
Zr  0.0477  0.3330  0.9603  1 Cu 2.68, 1 In 2.95, 1 Zr 3.00
Zr  0.3758  0.6982  0.4457  1 Cu 2.70, 1 In 2.93, 1 Zr 3.00
Zr  0.3758  0.8018  0.9457  1 Cu 2.70, 1 In 2.93, 1 Zr 3.00
Zr  0.4246  0.1037  0.2648  1 Cu 2.61, 1 In 2.87
Zr  0.4246  0.3963  0.7648  1 Cu 2.61, 1 In 2.87
Zr  0.5754  0.6037  0.2352  1 Cu 2.61, 1 In 2.87
Zr  0.5754  0.8963  0.7352  1 Cu 2.61, 1 In 2.87
Zr  0.6242  0.1982  0.0543  1 Cu 2.70, 1 In 2.93, 1 Zr 3.00
Zr  0.6242  0.3018  0.5543  1 Cu 2.70, 1 In 2.93, 1 Zr 3.00
Zr  0.9523  0.6670  0.0397  1 Cu 2.68, 1 In 2.95, 1 Zr 3.00
Zr  0.9523  0.8330  0.5397  1 Cu 2.68, 1 In 2.95, 1 Zr 3.00
In  0.0000  0.0000  0.0000  6 Zr 2.87-2.95, 2 In 3.16
In  0.0000  0.5000  0.5000  6 Zr 2.87-2.95, 2 In 3.16
In  0.1211  0.0955  0.7594  9 Zr 3.06-3.31, 1 In 3.16, 1 Cu 3.31
In  0.1211  0.4045  0.2594  9 Zr 3.06-3.31, 1 In 3.16, 1 Cu 3.31
In  0.8789  0.5955  0.7406  9 Zr 3.06-3.31, 1 In 3.16, 1 Cu 3.31
In  0.8789  0.9045  0.2406  9 Zr 3.06-3.31, 1 In 3.16, 1 Cu 3.31
Cu  0.5000  0.0000  0.5000  6 Zr 2.61-2.70
Cu  0.5000  0.5000  0.0000  6 Zr 2.61-2.70

Results
formation energy: -0.005 eV/atom
calculated density: 6.94 g cm⁻³
Fermi-level density of states: 10.61 states/eV/f.u.
E_tot: -6.365 eV per atom
total magnetization: 0.00 μB/f.u.



No. 10
## ZrIn2Cu (GGA-PBE)

Data for a geometry-optimized ZrIn2Cu structure.

Unit cell a=6.1558 b=6.1558 c=6.1558 alpha=103.25 beta=103.25 gamma=122.80
With the nearest neighbours (Å) after each atom.
Atoms (fractional coordinates):
Zr  0.0000  0.0000  0.0000  2 Cu 2.95, 4 In 3.04
Zr  0.7500  0.2500  0.5000  2 Cu 2.95, 4 In 3.04
In  0.1683  0.6250  0.0433  2 Cu 2.59
In  0.3750  0.4183  0.5433  2 Cu 2.59
In  0.5817  0.1250  0.9567  2 Cu 2.59
In  0.8750  0.8317  0.4567  2 Cu 2.59
Cu  0.2500  0.7500  0.5000  4 In 2.59
Cu  0.5000  0.5000  0.0000  4 In 2.59

Results
formation energy: 0.062 eV/atom
calculated density: 7.42 g cm⁻³
Fermi-level density of states: 3.74 states/eV/f.u.
E_tot: -4.468 eV per atom
total magnetization: 0.00 μB/f.u.